PBE-GGA La4Tb4Ho3, relaxed; energy = -4.661 eV per atom; relative energy among the computed polymorphs = 0.000 eV per atom; ΔE_f = 0.06 eV per atom
1.0
18.2213 -1.7710 0.0000
18.2213 1.7710 0.0000
-0.9017 0.0000 5.6697
La Tb Ho
4 4 3
Cartesian
3.2628 0.0000 0.5184 La
7.7285 0.0000 4.1384 La
27.8124 0.0000 1.5313 La
32.2781 0.0000 5.1513 La
1.1386 0.0000 3.0861 Tb
6.4631 0.0000 1.0304 Tb
29.0778 0.0000 4.6393 Tb
34.4023 0.0000 2.5835 Tb
12.9391 0.0000 2.0662 Ho
18.2213 0.0000 0.0000 Ho
22.6017 0.0000 3.6035 Ho